First-principles (PBE) data for a geometry-optimized BeW2 structure, as listed in OQMD via LeMat-Bulk.

Cell lengths 5.2066, 5.2066, 5.2066 Å; angles 60.00, 60.00, 60.00 degrees
With the nearest neighbours (Å) after each atom.
Fractional positions:
Be 0.0000 0.0000 0.0000  12 W 3.05, 4 Be 3.19
Be 0.2500 0.2500 0.2500  12 W 3.05, 4 Be 3.19
W 0.6250 0.6250 0.1250  6 W 2.60
W 0.6250 0.6250 0.6250  6 W 2.60
W 0.1250 0.6250 0.6250  6 W 2.60
W 0.6250 0.1250 0.6250  6 W 2.60

offset from the most stable computed form: 0 meV per atom
E: -8.85 eV per atom
magnetic moment: 0.0005 μB per atom


First-principles (PBE) data for a geometry-optimized BeZnW2 structure, as listed in OQMD via LeMat-Bulk.

Cell lengths 4.3241, 4.3241, 4.3241 Å; angles 60.00, 60.00, 60.00 degrees
With the nearest neighbours (Å) after each atom.
Fractional positions:
Zn 0.2500 0.2500 0.2500  4 Be 2.65, 4 W 2.65
W 0.7500 0.7500 0.7500  4 Be 2.65, 4 W 2.65
W 0.0000 0.0000 0.0000  4 W 2.65, 4 Zn 2.65
Be 0.5000 0.5000 0.5000  4 W 2.65, 4 Zn 2.65

E: -7.32 eV per atom
magnetic moment: 0.0001 μB per atom


First-principles (PBE) data for a geometry-optimized Be3Zn2W2 structure, as listed in OQMD via LeMat-Bulk.

Cell lengths 6.7243, 6.7243, 6.7243 Å; angles 34.39, 34.39, 34.39 degrees
With the nearest neighbours (Å) after each atom.
Fractional positions:
Zn 0.2446 0.2446 0.2446  7 Be 2.34-2.43
Zn 0.7553 0.7553 0.7553  5 Be 2.43-2.58, 6 W 2.63-2.69
W 0.0147 0.0147 0.0147  7 Be 2.33-2.58
W 0.4897 0.4897 0.4897  5 Be 2.31-2.57
Be 0.8834 0.8834 0.8834  4 Zn 2.36-2.43, 4 W 2.49-2.57
Be 0.6194 0.6194 0.6194  4 Zn 2.43-2.58, 4 W 2.46-2.58, 3 Be 2.64
Be 0.3678 0.3678 0.3678  4 W 2.31-2.33, 4 Zn 2.34-2.51

E: -5.17 eV per atom
magnetic moment: 0.0455 μB per atom


Copy entry 2 word for word.
First-principles (PBE) data for a geometry-optimized BeZnW2 structure, as listed in OQMD via LeMat-Bulk.

Cell lengths 4.3241, 4.3241, 4.3241 Å; angles 60.00, 60.00, 60.00 degrees
With the nearest neighbours (Å) after each atom.
Fractional positions:
Zn 0.2500 0.2500 0.2500  4 Be 2.65, 4 W 2.65
W 0.7500 0.7500 0.7500  4 Be 2.65, 4 W 2.65
W 0.0000 0.0000 0.0000  4 W 2.65, 4 Zn 2.65
Be 0.5000 0.5000 0.5000  4 W 2.65, 4 Zn 2.65

E: -7.32 eV per atom
magnetic moment: 0.0001 μB per atom


> What is the formula in the third record?

Be3Zn2W2